Record 1
Compound: Tm2Tl3CuS6
Source: Alexandria
Functional: PBE-GGA
Structure: optimized geometry

The structure in POSCAR format:
```
Tm2Tl3CuS6
1.0
3.469 -5.729 0.000
3.469 5.729 0.000
-2.692 0.000 7.289
Tm Tl Cu S
2 3 1 6
direct
0.163 0.837 0.000 Tm
0.837 0.163 0.000 Tm
0.000 0.000 0.500 Tl
0.322 0.678 0.500 Tl
0.678 0.322 0.500 Tl
0.500 0.500 0.000 Cu
0.136 0.436 0.823 S
0.227 0.227 0.231 S
0.436 0.136 0.823 S
0.564 0.864 0.177 S
0.773 0.773 0.769 S
0.864 0.564 0.177 S
```

Results
- crystal system = monoclinic
- symmetry = C2/m
- energy relative to the elements, uncorrected (meV per atom) = -947
- total moment (μB per formula unit) = 0.0

Record 2
Compound: RbZnBi2C
Source: Alexandria
Functional: PBE-GGA
Structure: optimized geometry

The structure in POSCAR format:
```
RbZnBi2C
1.0
5.132 0.000 0.000
0.000 5.132 0.000
0.000 0.000 5.120
Rb Zn Bi C
1 1 2 1
direct
0.000 0.000 0.000 Rb
0.500 0.500 0.000 Zn
0.000 0.500 0.500 Bi
0.500 0.000 0.500 Bi
0.500 0.500 0.500 C
```

Results
- crystal system = tetragonal
- E_form (eV/atom) = 0.898
- symmetry = P4/mmm
- total moment (μB per formula unit) = 0.0

Values of volume, in order: 24.1; 27.0, all in Å³ per atom.
Values of calculated total energy, in order: -0.172; -0.108, all in hartree per atom.